Entry 1:
Computed, not measured: a geometry-optimized PuCdAs2 structure at the PBE-GGA level of DFT.

a b c (Å): 4.6504 4.6504 3.8839
angles (deg): 90.00 90.00 90.00
Positions (direct):
Pu (0.0000, 0.0000, 0.0000)
Cd (0.5000, 0.5000, 0.0000)
As (0.0000, 0.5000, 0.5000)
As (0.5000, 0.0000, 0.5000)

## Properties
Its symmetry is P4/mmm, No. 123. The formation energy comes out at -495 meV per atom. The calculation puts the electronic total energy at -26.5 eV/cell. The energy above the lowest structure with this stoichiometry comes out at 2.0 kJ per mole of atoms.

Entry 2:
Computed, not measured: a geometry-optimized Ga2Cl3 structure at the PBE-GGA level of DFT.

a b c (Å): 13.4547 5.4376 12.9932
angles (deg): 82.94 23.65 73.41
Positions (direct):
Ga (0.2346, 0.7654, 0.2656)
Ga (0.5156, 0.9844, 0.4846)
Ga (0.7654, 0.2346, 0.7344)
Ga (0.9844, 0.5156, 0.0154)
Cl (0.0195, 0.0195, 0.9805)
Cl (0.2695, 0.2695, 0.2305)
Cl (0.2747, 0.4103, 0.5900)
Cl (0.4103, 0.2747, 0.7250)
Cl (0.5250, 0.6600, 0.8397)
Cl (0.6600, 0.5250, 0.9753)

## Properties
Its symmetry is Fdd2, No. 43. The calculation puts the electronic total energy at -30.3 eV/cell. The energy above the lowest structure with this stoichiometry comes out at 0.0 kJ per mole of atoms.

Entry 3:
Computed, not measured: a geometry-optimized LiCaSn2Pd2 structure at the PBE-GGA level of DFT.

a b c (Å): 4.6446 4.6446 6.7712
angles (deg): 90.00 90.00 120.00
Positions (direct):
Li (0.0000, 0.0000, 0.0000)
Ca (0.0000, 0.0000, 0.5000)
Sn (0.3333, 0.6667, 0.2044)
Sn (0.6667, 0.3333, 0.7956)
Pd (0.3333, 0.6667, 0.7980)
Pd (0.6667, 0.3333, 0.2020)

## Properties
Its symmetry is P-3m1, No. 164. The formation energy comes out at -668 meV per atom. The calculation puts the electronic total energy at -26.3 eV/cell.

Entry 4:
Computed, not measured: a geometry-optimized LiSiB structure at the PBE-GGA level of DFT.

a b c (Å): 3.4181 3.9634 5.9901
angles (deg): 90.00 90.00 90.00
Positions (direct):
Li (0.0000, 0.0000, 0.0000)
Li (0.5000, 0.0000, 0.5000)
Si (0.0000, 0.5000, 0.3082)
Si (0.0000, 0.5000, 0.6918)
B (0.5000, 0.5000, 0.1398)
B (0.5000, 0.5000, 0.8602)

## Properties
Its symmetry is Pmmm, No. 47. The calculation puts the electronic total energy at -28.4 eV/cell.

Entry 5:
Computed, not measured: a geometry-optimized MnOs3 structure at the PBE-GGA level of DFT.

a b c (Å): 2.7049 2.7049 26.0393
angles (deg): 90.00 90.00 120.00
Positions (direct):
Mn (0.0000, 0.0000, 0.0000)
Mn (0.3333, 0.6667, 0.6667)
Mn (0.6667, 0.3333, 0.3333)
Os (0.0000, 0.0000, 0.2529)
Os (0.0000, 0.0000, 0.5000)
Os (0.0000, 0.0000, 0.7471)
Os (0.3333, 0.6667, 0.1667)
Os (0.3333, 0.6667, 0.4138)
Os (0.3333, 0.6667, 0.9195)
Os (0.6667, 0.3333, 0.0805)
Os (0.6667, 0.3333, 0.5862)
Os (0.6667, 0.3333, 0.8333)

## Properties
Its symmetry is R-3m, No. 166. The formation energy comes out at 157 meV per atom. The calculation puts the electronic total energy at -126.7 eV/cell.

Entry 6:
Computed, not measured: a geometry-optimized FeSnPS2 structure at the PBE-GGA level of DFT.

a b c (Å): 4.9452 4.9452 4.9909
angles (deg): 90.00 90.00 90.00
Positions (direct):
Fe (0.0000, 0.0000, 0.0000)
Sn (0.5000, 0.5000, 0.5000)
P (0.5000, 0.5000, 0.0000)
S (0.0000, 0.5000, 0.5000)
S (0.5000, 0.0000, 0.5000)

## Properties
Its symmetry is P4/mmm, No. 123. The calculation puts the electronic total energy at -20.8 eV/cell. The energy above the lowest structure with this stoichiometry comes out at 82.2 kJ per mole of atoms.

Entry 7:
Computed, not measured: a geometry-optimized BaMg structure at the PBE-GGA level of DFT.

a b c (Å): 12.6970 11.0768 7.4097
angles (deg): 90.00 90.00 90.00
Positions (direct):
Ba (0.1209, 0.2500, 0.0000)
Ba (0.1209, 0.2500, 0.5000)
Ba (0.1900, 0.6293, 0.2500)
Ba (0.1900, 0.8707, 0.7500)
Ba (0.3727, 0.0301, 0.2500)
Ba (0.3727, 0.4699, 0.7500)
Ba (0.6273, 0.5301, 0.2500)
Ba (0.6273, 0.9699, 0.7500)
Ba (0.8100, 0.1293, 0.2500)
Ba (0.8100, 0.3707, 0.7500)
Ba (0.8791, 0.7500, 0.0000)
Ba (0.8791, 0.7500, 0.5000)
Mg (0.0700, 0.5432, 0.7500)
Mg (0.0700, 0.9568, 0.2500)
Mg (0.3723, 0.1399, 0.7500)
Mg (0.3723, 0.3601, 0.2500)
Mg (0.4471, 0.7500, 0.0000)
Mg (0.4471, 0.7500, 0.5000)
Mg (0.5529, 0.2500, 0.0000)
Mg (0.5529, 0.2500, 0.5000)
Mg (0.6277, 0.6399, 0.7500)
Mg (0.6277, 0.8601, 0.2500)
Mg (0.9300, 0.0432, 0.7500)
Mg (0.9300, 0.4568, 0.2500)

## Properties
Its symmetry is Pbcm, No. 57. The formation energy comes out at 17 meV per atom. The calculation puts the electronic total energy at -41.8 eV/cell.

Entry 8:
Computed, not measured: a geometry-optimized RbPa3Se6 structure at the PBE-GGA level of DFT.

a b c (Å): 11.5637 4.1655 13.3434
angles (deg): 90.00 101.72 90.00
Positions (direct):
Rb (0.0047, 0.2500, 0.1729)
Rb (0.9953, 0.7500, 0.8271)
Pa (0.1391, 0.2500, 0.5380)
Pa (0.3685, 0.7500, 0.0594)
Pa (0.4774, 0.7500, 0.6580)
Pa (0.5226, 0.2500, 0.3420)
Pa (0.6315, 0.2500, 0.9406)
Pa (0.8609, 0.7500, 0.4620)
Se (0.0780, 0.7500, 0.3869)
Se (0.2004, 0.2500, 0.9998)
Se (0.2279, 0.7500, 0.6783)
Se (0.3528, 0.7500, 0.2678)
Se (0.3781, 0.2500, 0.5079)
Se (0.4576, 0.7500, 0.8744)
Se (0.5424, 0.2500, 0.1256)
Se (0.6219, 0.7500, 0.4921)
Se (0.6472, 0.2500, 0.7322)
Se (0.7721, 0.2500, 0.3217)
Se (0.7996, 0.7500, 0.0002)
Se (0.9220, 0.2500, 0.6131)

## Properties
Its symmetry is P2_1/m, No. 11. The calculation puts the electronic total energy at -127.6 eV/cell.

- Which value of electronic total energy does entry 5 give?
  -126.7 eV/cell

- Among the records above, which one has the highest electronic total energy?
  FeSnPS2